Na2MgCd2Ag5 | PBE | relaxed

- N(E_F) (states/eV/atom) = 0.28
- total DFT energy (no corrections) (Ha/atom) = -0.076
- volume (Å³/atom) = 21.77
- symmetry = P4/mbm, No. 127

a b c (Å): 4.1177 10.2819 10.2819
angles (deg): 90.00 90.00 90.00
Last column: nearest neighbours and their distance in Å.
Fractional coordinates of all 20 atoms:
Mg1 0.0000 0.5000 0.5000  8 Ag 2.91
Mg2 0.0000 0.0000 0.0000  8 Ag 2.91
Ag1 0.5000 0.5558 0.6927  2 Cd 2.86, 2 Mg 2.91, 2 Ag 2.92
Ag2 0.5000 0.9442 0.1927  2 Cd 2.86, 2 Mg 2.91, 2 Ag 2.92
Ag3 0.5000 0.6927 0.4442  2 Cd 2.86, 2 Mg 2.91, 2 Ag 2.92
Ag4 0.5000 0.5000 0.0000  4 Cd 2.78
Ag5 0.5000 0.0558 0.8073  2 Cd 2.86, 2 Mg 2.91, 2 Ag 2.92
Ag6 0.5000 0.0000 0.5000  4 Cd 2.78
Ag7 0.5000 0.3073 0.5558  2 Cd 2.86, 2 Mg 2.91, 2 Ag 2.92
Ag8 0.5000 0.4442 0.3073  2 Cd 2.86, 2 Mg 2.91, 2 Ag 2.92
Ag9 0.5000 0.1927 0.0558  2 Cd 2.86, 2 Mg 2.91, 2 Ag 2.92
Ag10 0.5000 0.8073 0.9442  2 Cd 2.86, 2 Mg 2.91, 2 Ag 2.92
Na1 0.0000 0.3287 0.8287  3 Cd 2.91-3.12, 2 Ag 3.23
Na2 0.0000 0.6713 0.1713  3 Cd 2.91-3.12, 2 Ag 3.23
Na3 0.0000 0.8287 0.6713  3 Cd 2.91-3.12, 2 Ag 3.23
Na4 0.0000 0.1713 0.3287  3 Cd 2.91-3.12, 2 Ag 3.23
Cd1 0.0000 0.3711 0.1289  6 Ag 2.78-2.86, 3 Na 2.91-3.12
Cd2 0.0000 0.6289 0.8711  6 Ag 2.78-2.86, 3 Na 2.91-3.12
Cd3 0.0000 0.1289 0.6289  6 Ag 2.78-2.86, 3 Na 2.91-3.12
Cd4 0.0000 0.8711 0.3711  6 Ag 2.78-2.86, 3 Na 2.91-3.12

---

NdMg2Cd4Ag | PBE | relaxed

- N(E_F) (states/eV/atom) = 0.46
- total DFT energy (no corrections) (Ha/atom) = -0.073
- volume (Å³/atom) = 22.94
- symmetry = R-3m, No. 166

a b c (Å): 4.8724 4.8724 9.3586
angles (deg): 74.91 74.91 60.00
Last column: nearest neighbours and their distance in Å.
Fractional coordinates of all 8 atoms:
Nd1 0.0000 0.0000 0.0000  8 Cd 3.20-3.45
Cd1 0.1287 0.1287 0.6139  3 Ag 2.99, 4 Mg 3.04-3.20
Cd2 0.6098 0.6098 0.1706  3 Mg 2.91, 1 Ag 2.94, 3 Nd 3.20
Cd3 0.8713 0.8713 0.3861  3 Ag 2.99, 4 Mg 3.04-3.20
Cd4 0.3902 0.3902 0.8294  3 Mg 2.91, 1 Ag 2.94, 3 Nd 3.20
Mg1 0.2481 0.2481 0.2557  7 Cd 2.91-3.20
Mg2 0.7519 0.7519 0.7443  7 Cd 2.91-3.20
Ag1 0.5000 0.5000 0.5000  8 Cd 2.94-2.99

---

NdMgCdAg | PBE | relaxed

- N(E_F) (states/eV/atom) = 0.69
- total DFT energy (no corrections) (Ha/atom) = -0.104
- volume (Å³/atom) = 23.75
- symmetry = F-43m, No. 216

a b c (Å): 5.1218 5.1218 5.1218
angles (deg): 60.00 60.00 60.00
Last column: nearest neighbours and their distance in Å.
Fractional coordinates of all 4 atoms:
Nd1 0.5000 0.5000 0.5000  4 Ag 3.14, 4 Cd 3.14
Ag1 0.2500 0.2500 0.2500  4 Nd 3.14, 4 Mg 3.14
Cd1 0.7500 0.7500 0.7500  4 Mg 3.14, 4 Nd 3.14
Mg1 0.0000 0.0000 0.0000  4 Cd 3.14, 4 Ag 3.14